# 1
First-principles (GGA-PBE) data for an optimized crystal structure of Tb3Al7Pt4, as listed in Alexandria via LeMat-Bulk.

Lattice parameters (Å, degrees): 4.2575 8.1533 8.3790 70.01 75.28 74.87
Closest atoms and distances in Å follow each position.
Element x y z (fractional)
Tb1 0.3077 0.1889 0.1957  10 Al 3.06-3.26, 4 Pt 3.06-3.12
Tb2 0.6923 0.8111 0.8043  10 Al 3.06-3.26, 4 Pt 3.06-3.12
Tb3 0.0000 0.5000 0.5000  6 Pt 2.98-3.20, 2 Al 3.28
Al1 0.3178 0.8371 0.5272  4 Pt 2.57-2.64, 1 Al 2.75
Al2 0.4957 0.2152 0.7934  3 Pt 2.53-2.65, 1 Al 2.75
Al3 0.8449 0.3864 0.9237  3 Pt 2.55-2.63
Al4 0.6822 0.1629 0.4728  4 Pt 2.57-2.64, 1 Al 2.75
Al5 0.1551 0.6136 0.0763  3 Pt 2.55-2.63
Al6 0.0000 0.0000 0.0000  2 Pt 2.64, 6 Al 2.92
Al7 0.5043 0.7848 0.2066  3 Pt 2.53-2.65, 1 Al 2.75
Pt1 0.6603 0.4594 0.2200  5 Al 2.53-2.63
Pt2 0.3397 0.5406 0.7800  5 Al 2.53-2.63
Pt3 0.8825 0.8937 0.3414  6 Al 2.57-2.65
Pt4 0.1175 0.1063 0.6586  6 Al 2.57-2.65

## Properties
E_tot = -5.60 eV per atom
Space-group type = C2/m, No. 12
Magnetization = 0.00 μB per formula unit
Calculated formation energy = -1014 meV/atom

---

# 2
First-principles (GGA-PBE) data for an optimized crystal structure of Ga2Pt2O7, as listed in Alexandria via LeMat-Bulk.

Lattice parameters (Å, degrees): 6.9349 6.9349 6.9349 60.00 60.00 60.00
Closest atoms and distances in Å follow each position.
Element x y z (fractional)
Ga1 0.6250 0.6250 0.6250  8 O 2.12-2.26
Ga2 0.6250 0.6250 0.1250  8 O 2.12-2.26
Ga3 0.6250 0.1250 0.6250  8 O 2.12-2.26
Ga4 0.1250 0.6250 0.6250  8 O 2.12-2.26
Pt1 0.6250 0.1250 0.1250  6 O 2.00
Pt2 0.1250 0.6250 0.1250  6 O 2.00
Pt3 0.1250 0.1250 0.6250  6 O 2.00
Pt4 0.1250 0.1250 0.1250  6 O 2.00
O1 0.2269 0.2269 0.7731  2 Pt 2.00
O2 0.2269 0.7731 0.2269  2 Pt 2.00
O3 0.4769 0.0231 0.4769  2 Pt 2.00
O4 0.4769 0.4769 0.0231  2 Pt 2.00
O5 0.7500 0.7500 0.7500  4 Ga 2.12
O6 0.7731 0.2269 0.2269  2 Pt 2.00
O7 0.4769 0.0231 0.0231  2 Pt 2.00
O8 0.0231 0.4769 0.4769  2 Pt 2.00
O9 0.0231 0.0231 0.4769  2 Pt 2.00
O10 0.0231 0.4769 0.0231  2 Pt 2.00
O11 0.2269 0.7731 0.7731  2 Pt 2.00
O12 0.5000 0.5000 0.5000  4 Ga 2.12
O13 0.7731 0.2269 0.7731  2 Pt 2.00
O14 0.7731 0.7731 0.2269  2 Pt 2.00

## Properties
E_tot = -5.82 eV per atom
Space-group type = Fd-3m, No. 227
Magnetization = 0.00 μB per formula unit

---

# 3
First-principles (GGA-PBE) data for an optimized crystal structure of Pr3Ho6Cd, as listed in Alexandria via LeMat-Bulk.

Lattice parameters (Å, degrees): 6.3482 10.1937 10.1937 100.46 90.00 90.00
Closest atoms and distances in Å follow each position.
Element x y z (fractional)
Pr1 0.4416 0.8914 0.7118  6 Ho 3.29-3.55, 1 Cd 3.30
Pr2 0.9416 0.7118 0.8914  6 Ho 3.29-3.55, 1 Cd 3.30
Pr3 0.0906 0.3572 0.6428  1 Cd 3.20, 3 Ho 3.50-3.59
Pr4 0.5906 0.6428 0.3572  1 Cd 3.20, 3 Ho 3.50-3.59
Pr5 0.9416 0.1086 0.2882  6 Ho 3.29-3.55, 1 Cd 3.30
Pr6 0.4416 0.2882 0.1086  6 Ho 3.29-3.55, 1 Cd 3.30
Ho1 0.0896 0.6774 0.5644  3 Ho 3.15-3.44, 3 Pr 3.29-3.50
Ho2 0.5896 0.5644 0.6774  3 Ho 3.15-3.44, 3 Pr 3.29-3.50
Ho3 0.4085 0.5942 0.9931  1 Cd 3.21, 2 Ho 3.38-3.46, 2 Pr 3.43-3.54
Ho4 0.9085 0.9931 0.5942  1 Cd 3.21, 2 Ho 3.38-3.46, 2 Pr 3.43-3.54
Ho5 0.2670 0.9522 0.0478  2 Cd 3.01-3.24, 1 Ho 3.34
Ho6 0.5880 0.2485 0.7515  1 Cd 3.09, 3 Ho 3.34-3.44
Ho7 0.0880 0.7515 0.2485  1 Cd 3.09, 3 Ho 3.34-3.44
Ho8 0.7670 0.0478 0.9522  2 Cd 3.01-3.24, 1 Ho 3.34
Ho9 0.4085 0.0069 0.4058  1 Cd 3.21, 2 Ho 3.38-3.46, 2 Pr 3.43-3.54
Ho10 0.9085 0.4058 0.0069  1 Cd 3.21, 2 Ho 3.38-3.46, 2 Pr 3.43-3.54
Ho11 0.0896 0.4356 0.3226  3 Ho 3.15-3.44, 3 Pr 3.29-3.50
Ho12 0.5896 0.3226 0.4356  3 Ho 3.15-3.44, 3 Pr 3.29-3.50
Cd1 0.1603 0.1547 0.8453  5 Ho 3.01-3.24, 3 Pr 3.20-3.30
Cd2 0.6603 0.8453 0.1547  5 Ho 3.01-3.24, 3 Pr 3.20-3.30

## Properties
E_tot = -4.19 eV per atom
Space-group type = Cmc2_1, No. 36
Magnetization = 0.00 μB per formula unit
Calculated formation energy = 83 meV/atom

---

# 4
First-principles (GGA-PBE) data for an optimized crystal structure of DyFeNiGe3, as listed in Alexandria via LeMat-Bulk.

Lattice parameters (Å, degrees): 5.7635 6.2291 6.9516 116.62 90.00 90.00
Closest atoms and distances in Å follow each position.
Element x y z (fractional)
Dy1 0.7500 0.2000 0.3999  1 Fe 2.88, 2 Ge 2.89
Dy2 0.2500 0.8000 0.6001  1 Fe 2.88, 2 Ge 2.89
Fe1 0.2500 0.0314 0.0627  5 Ge 2.26-2.34
Fe2 0.7500 0.9686 0.9373  5 Ge 2.26-2.34
Ni1 0.2500 0.3900 0.7801  5 Ge 2.20-2.38
Ni2 0.7500 0.6100 0.2199  5 Ge 2.20-2.38
Ge1 0.2500 0.2132 0.4264  1 Ni 2.20, 1 Fe 2.26
Ge2 0.0000 0.2885 0.0000  2 Fe 2.34, 2 Ni 2.38
Ge3 0.5000 0.7115 0.0000  2 Fe 2.34, 2 Ni 2.38
Ge4 0.5000 0.2885 0.0000  2 Fe 2.34, 2 Ni 2.38
Ge5 0.0000 0.7115 0.0000  2 Fe 2.34, 2 Ni 2.38
Ge6 0.7500 0.7868 0.5736  1 Ni 2.20, 1 Fe 2.26

## Properties
E_tot = -5.63 eV per atom
Space-group type = Cmcm, No. 63
Magnetization = 0.01 μB per formula unit
Calculated formation energy = -183 meV/atom

---

# 5
First-principles (GGA-PBE) data for an optimized crystal structure of LaPrAgAu, as listed in Alexandria via LeMat-Bulk.

Lattice parameters (Å, degrees): 3.9752 4.8976 6.0730 90.00 109.10 90.00
Closest atoms and distances in Å follow each position.
Element x y z (fractional)
La1 0.8614 0.5000 0.7229  3 Au 3.21-3.22, 4 Ag 3.22
Pr1 0.1383 0.0000 0.2765  3 Ag 3.20-3.22, 4 Au 3.22
Ag1 0.4192 0.0000 0.8384  2 Au 3.07, 3 Pr 3.20-3.22, 4 La 3.22
Au1 0.5811 0.5000 0.1622  2 Ag 3.07, 3 La 3.21-3.22, 4 Pr 3.22

## Properties
E_tot = -4.48 eV per atom
Space-group type = Amm2, No. 38
Magnetization = 0.00 μB per formula unit
ΔE to the lowest computed polymorph = 0.0 kJ per mole of atoms
Calculated formation energy = -522 meV/atom

---

# 6
First-principles (GGA-PBE) data for an optimized crystal structure of SrCaBiI, as listed in Alexandria via LeMat-Bulk.

Lattice parameters (Å, degrees): 5.1416 5.1416 15.4709 80.43 80.43 60.00
Closest atoms and distances in Å follow each position.
Element x y z (fractional)
Sr1 0.5925 0.5925 0.2226  3 I 3.36, 3 Bi 3.58
Sr2 0.4075 0.4075 0.7774  3 I 3.36, 3 Bi 3.58
Ca1 0.8077 0.8077 0.5769  4 Bi 3.14-3.37
Ca2 0.1923 0.1923 0.4231  4 Bi 3.14-3.37
Bi1 0.1182 0.1182 0.6453  4 Ca 3.14-3.37
Bi2 0.8818 0.8818 0.3547  4 Ca 3.14-3.37
I1 0.7063 0.7063 0.8812  3 Sr 3.36
I2 0.2937 0.2937 0.1188  3 Sr 3.36

## Properties
E_tot = -3.45 eV per atom
Space-group type = R-3m, No. 166
Magnetization = 0.00 μB per formula unit
ΔE to the lowest computed polymorph = 0.0 kJ per mole of atoms